Entry from Alexandria: a geometry-optimized SrCo4Cu structure (PBE-GGA).

Summary:
Total magnetization in μB per formula unit: 6.5
Space-group type: F-43m (216)
Crystal system: cubic
Theoretical density in Mg/m³: 7.2
Electronic total energy in eV/atom: -5.3336
E_form in eV/atom: 0.367

```
SrCo4Cu
1.0
0.252 -4.728 1.639
-3.700 -3.213 -1.041
0.768 -3.739 -3.246
Sr Co Cu
1 4 1
Cartesian
0.000 0.000 0.000
-0.884 -6.733 -0.187
-0.629 -6.245 -2.601
-2.838 -5.985 -1.511
-1.009 -4.397 -0.997
-2.010 -8.760 -1.986
```